[1]
DFT (PBE) results for crystalline Pa2Ga8Pt at its relaxed geometry.

abc: 4.3537 4.3537 11.1474
angles: 90.00 90.00 90.00
Element x y z (fractional)
Ga 0.5000 0.0000 0.1266
Ga 0.0000 0.5000 0.5000
Ga 0.5000 0.0000 0.5000
Ga 0.0000 0.5000 0.8734
Ga 0.5000 0.5000 0.6888
Ga 0.5000 0.0000 0.8734
Ga 0.5000 0.5000 0.3112
Ga 0.0000 0.5000 0.1266
Pa 0.0000 0.0000 0.6894
Pa 0.0000 0.0000 0.3106
Pt 0.0000 0.0000 0.0000

Properties
The crystal system is tetragonal. The total energy is -54.51 eV/cell.

---

[2]
DFT (PBE) results for crystalline PaGa2Pt2 at its relaxed geometry.

abc: 6.6481 6.6481 6.6481
angles: 145.38 145.38 49.76
Element x y z (fractional)
Pa 0.0000 0.0000 0.0000
Pt 0.6087 0.6087 0.0000
Pt 0.3913 0.3913 0.0000
Ga 0.7500 0.2500 0.5000
Ga 0.2500 0.7500 0.5000

Properties
The crystal system is tetragonal. The total energy is -31.48 eV/cell.

---

[3]
DFT (PBE) results for crystalline Pa3Ga4Pt4 at its relaxed geometry.

abc: 8.2619 8.2619 8.2619
angles: 150.76 129.35 59.56
Each line ends with the local moment (μB).
Element x y z (fractional)
Pt 0.2011 0.5000 0.7011  0.00
Pt 0.7194 0.2194 0.5000  0.00
Pt 0.2806 0.7806 0.5000  0.00
Pt 0.7989 0.5000 0.2989  0.00
Pa 0.5000 0.0000 0.5000  0.04
Pa 0.8765 0.8765 0.0000  0.07
Pa 0.1235 0.1235 0.0000  0.07
Ga 0.1345 0.3291 0.8054  0.00
Ga 0.4764 0.6709 0.8054  0.00
Ga 0.5236 0.3291 0.1946  0.00
Ga 0.8655 0.6709 0.1946  0.00

Properties
The crystal system is orthorhombic. The total energy is -74.16 eV/cell.

---

[4]
DFT (PBE) results for crystalline Pa4Ga12Pt at its relaxed geometry.

abc: 7.4881 7.4881 7.4881
angles: 109.47 109.47 109.47
Each line ends with the local moment (μB).
Element x y z (fractional)
Ga 0.2988 0.2988 0.0000  0.00
Ga 0.7500 0.2500 0.5000  0.00
Ga 0.0000 0.7012 0.7012  0.00
Ga 0.2500 0.7500 0.5000  0.00
Ga 0.5000 0.2500 0.7500  0.00
Ga 0.2500 0.5000 0.7500  0.00
Ga 0.7012 0.7012 0.0000  0.00
Ga 0.5000 0.7500 0.2500  0.00
Ga 0.2988 0.0000 0.2988  0.00
Ga 0.0000 0.2988 0.2988  0.00
Ga 0.7012 0.0000 0.7012  0.00
Ga 0.7500 0.5000 0.2500  0.00
Pa 0.5000 0.5000 0.5000  0.10
Pa 0.5000 0.0000 0.0000  0.08
Pa 0.0000 0.0000 0.5000  0.12
Pa 0.0000 0.5000 0.0000  0.10
Pt 0.0000 0.0000 0.0000  0.01

Properties
The crystal system is cubic. The total energy is -88.06 eV/cell.

---

[5]
DFT (PBE) results for crystalline Pu3PaGa8 at its relaxed geometry.

abc: 9.5259 9.5259 9.5259
angles: 33.43 33.43 33.43
Each line ends with the local moment (μB).
Element x y z (fractional)
Ga 0.0635 0.5625 0.5625  -0.01
Ga 0.5614 0.0626 0.0626  -0.02
Ga 0.0626 0.0626 0.5614  -0.01
Ga 0.5625 0.5625 0.0635  -0.01
Ga 0.5625 0.0635 0.5625  -0.03
Ga 0.3124 0.3124 0.3124  -0.03
Ga 0.0626 0.5614 0.0626  -0.04
Ga 0.8126 0.8126 0.8126  -0.01
Pu 0.6256 0.6256 0.6256  5.37
Pu 0.0000 0.0000 0.0000  5.37
Pu 0.4992 0.4992 0.4992  5.40
Pa 0.1253 0.1253 0.1253  0.93

Properties
The crystal system is trigonal. The total energy is -81.39 eV/cell.

---

[6]
DFT (PBE) results for crystalline PaGaSb at its relaxed geometry.

abc: 4.7773 4.7773 4.7773
angles: 60.00 60.00 60.00
Each line ends with the local moment (μB).
Element x y z (fractional)
Sb 0.7500 0.7500 0.7500  0.00
Pa 0.2500 0.2500 0.2500  0.56
Ga 0.0000 0.0000 0.0000  0.04

Properties
The crystal system is cubic. The distance to the lowest polymorph of the same formula comes out at 10 kJ/mol of formula units. The total energy is -16.34 eV/cell.

---

[7]
DFT (PBE) results for crystalline PaGaSb at its relaxed geometry.

abc: 4.9677 4.9677 4.9677
angles: 60.00 60.00 60.00
Element x y z (fractional)
Pa 0.0000 0.0000 0.0000
Sb 0.7500 0.7500 0.7500
Ga 0.2500 0.2500 0.2500

Properties
The crystal system is cubic. The distance to the lowest polymorph of the same formula comes out at 0 kJ/mol of formula units. The total energy is -16.45 eV/cell.

---

[8]
DFT (PBE) results for crystalline ScPaGa at its relaxed geometry.

abc: 4.8576 4.8576 4.8576
angles: 60.00 60.00 60.00
Element x y z (fractional)
Sc 0.7500 0.7500 0.7500
Ga 0.2500 0.2500 0.2500
Pa 0.0000 0.0000 0.0000

Properties
The crystal system is cubic. The distance to the lowest polymorph of the same formula comes out at 188 kJ/mol of formula units. The total energy is -16.51 eV/cell.

---

[9]
DFT (PBE) results for crystalline ScPaGa at its relaxed geometry.

abc: 4.7291 4.7291 4.7291
angles: 60.00 60.00 60.00
Each line ends with the local moment (μB).
Element x y z (fractional)
Pa 0.2500 0.2500 0.2500  0.09
Sc 0.7500 0.7500 0.7500  0.03
Ga 0.0000 0.0000 0.0000  -0.01

Properties
The crystal system is cubic. The distance to the lowest polymorph of the same formula comes out at 0 kJ/mol of formula units. The total energy is -18.46 eV/cell.

---

[10]
DFT (PBE) results for crystalline PaGaSe at its relaxed geometry.

abc: 8.6161 8.6161 8.6161
angles: 152.97 152.97 38.60
Element x y z (fractional)
Pa 0.6407 0.6407 0.0000
Pa 0.3593 0.3593 0.0000
Se 0.8232 0.8232 0.0000
Se 0.1768 0.1768 0.0000
Ga 0.0000 0.5000 0.5000
Ga 0.5000 0.0000 0.5000

Properties
The crystal system is tetragonal. The total energy is -37.42 eV/cell.

---

[11]
DFT (PBE) results for crystalline PaGaSi2 at its relaxed geometry.

abc: 4.2492 4.2492 4.0399
angles: 90.00 90.00 90.00
Element x y z (fractional)
Pa 0.5000 0.5000 0.5000
Ga 0.0000 0.0000 0.5000
Si 0.5000 0.0000 0.0000
Si 0.0000 0.5000 0.0000

Properties
The crystal system is tetragonal. The total energy is -25.01 eV/cell.

---

[12]
DFT (PBE) results for crystalline PaGa2Si at its relaxed geometry.

abc: 4.1503 4.1503 4.4104
angles: 90.00 90.00 90.00
Element x y z (fractional)
Si 0.0000 0.0000 0.5000
Ga 0.0000 0.5000 0.0000
Ga 0.5000 0.0000 0.0000
Pa 0.5000 0.5000 0.5000

Properties
The crystal system is tetragonal. The total energy is -22.58 eV/cell.

---

[13]
DFT (PBE) results for crystalline PaGaSn at its relaxed geometry.

abc: 4.9584 4.9584 4.9584
angles: 60.00 60.00 60.00
Element x y z (fractional)
Pa 0.0000 0.0000 0.0000
Ga 0.2500 0.2500 0.2500
Sn 0.7500 0.7500 0.7500

Properties
The crystal system is cubic. The distance to the lowest polymorph of the same formula comes out at 39 kJ/mol of formula units. The total energy is -15.79 eV/cell.

---

[14]
DFT (PBE) results for crystalline PaGaSn at its relaxed geometry.

abc: 4.7576 4.7576 4.7576
angles: 60.00 60.00 60.00
Each line ends with the local moment (μB).
Element x y z (fractional)
Ga 0.0000 0.0000 0.0000  0.05
Pa 0.2500 0.2500 0.2500  0.82
Sn 0.7500 0.7500 0.7500  0.01

Properties
The crystal system is cubic. The distance to the lowest polymorph of the same formula comes out at 0 kJ/mol of formula units. The total energy is -16.20 eV/cell.

---

[15]
DFT (PBE) results for crystalline SrPaGa at its relaxed geometry.

abc: 5.1052 5.1052 5.1052
angles: 60.00 60.00 60.00
Each line ends with the local moment (μB).
Element x y z (fractional)
Ga 0.0000 0.0000 0.0000  -0.05
Pa 0.2500 0.2500 0.2500  0.90
Sr 0.7500 0.7500 0.7500  0.04

Properties
The crystal system is cubic. The distance to the lowest polymorph of the same formula comes out at 0 kJ/mol of formula units. The total energy is -12.71 eV/cell.

---

[16]
DFT (PBE) results for crystalline PaGaTc at its relaxed geometry.

abc: 4.5885 4.5885 4.5885
angles: 60.00 60.00 60.00
Element x y z (fractional)
Pa 0.0000 0.0000 0.0000
Ga 0.2500 0.2500 0.2500
Tc 0.7500 0.7500 0.7500

Properties
The crystal system is cubic. The distance to the lowest polymorph of the same formula comes out at 315 kJ/mol of formula units. The total energy is -20.97 eV/cell.

---

[17]
DFT (PBE) results for crystalline PaGa2Tc at its relaxed geometry.

abc: 4.4995 6.8596 5.0347
angles: 90.00 107.22 90.00
Element x y z (fractional)
Ga 0.4123 0.0533 0.7297
Ga 0.5877 0.5533 0.2703
Ga 0.5877 0.9467 0.2703
Ga 0.4123 0.4467 0.7297
Pa 0.9644 0.7500 0.8465
Pa 0.0356 0.2500 0.1535
Tc 0.8847 0.2500 0.6184
Tc 0.1153 0.7500 0.3816

Properties
The crystal system is monoclinic. The total energy is -55.39 eV/cell.

---

[18]
DFT (PBE) results for crystalline PaGaTc2 at its relaxed geometry.

abc: 4.3834 4.3834 3.5632
angles: 90.00 90.00 90.00
Element x y z (fractional)
Pa 0.5000 0.5000 0.5000
Tc 0.0000 0.5000 0.0000
Tc 0.5000 0.0000 0.0000
Ga 0.0000 0.0000 0.5000

Properties
The crystal system is tetragonal. The total energy is -34.63 eV/cell.

---

[19]
DFT (PBE) results for crystalline Pa2Ga8Tc at its relaxed geometry.

abc: 4.3503 4.3503 11.1618
angles: 90.00 90.00 90.00
Element x y z (fractional)
Ga 0.5000 0.0000 0.1208
Ga 0.0000 0.5000 0.8792
Ga 0.0000 0.5000 0.1208
Ga 0.5000 0.5000 0.6902
Ga 0.5000 0.0000 0.8792
Ga 0.5000 0.0000 0.5000
Ga 0.5000 0.5000 0.3098
Ga 0.0000 0.5000 0.5000
Tc 0.0000 0.0000 0.0000
Pa 0.0000 0.0000 0.6937
Pa 0.0000 0.0000 0.3063

Properties
The crystal system is tetragonal. The total energy is -57.37 eV/cell.

---

[20]
DFT (PBE) results for crystalline PaGaTc at its relaxed geometry.

abc: 4.6780 4.9358 5.8551
angles: 77.44 66.46 89.98
Element x y z (fractional)
Ga 0.0758 0.7933 0.3484
Ga 0.9242 0.2067 0.6516
Tc 0.3132 0.1580 0.8738
Tc 0.6868 0.8420 0.1262
Pa 0.6278 0.3111 0.2443
Pa 0.3722 0.6889 0.7557

Properties
The crystal system is monoclinic. The distance to the lowest polymorph of the same formula comes out at 0 kJ/mol of formula units. The total energy is -48.48 eV/cell.